The following is a DFT calculation (GGA+U) of a relaxed structure of Ac2Co2O5.

Unit cell a=3.982 b=3.982 c=7.627 alpha=90.00 beta=90.00 gamma=90.00
Sites, in units of the cell vectors:
1 Ac 0.000 0.000 0.000
2 Ac 0.000 0.000 0.500
3 Co 0.500 0.500 0.237
4 Co 0.500 0.500 0.763
5 O 0.000 0.500 0.220
6 O 0.000 0.500 0.780
7 O 0.500 0.000 0.220
8 O 0.500 0.000 0.780
9 O 0.500 0.500 0.500

Properties
Uncorrected energy in eV/cell: -61.7